A plane-wave DFT calculation with GGA-PBEsol was carried out for an optimized crystal structure of FeNiIr2.

Geometry as extended XYZ:
```
8
Lattice="3.644 0.000 0.000 0.000 3.644 0.000 0.000 0.000 7.501" Properties=species:S:1:pos:R:3 pbc="T T T"
Fe 0.000 0.000 0.000
Fe 1.822 1.822 3.750
Ni 0.000 1.822 5.625
Ni 1.822 0.000 1.875
Ir 0.000 0.000 3.750
Ir 0.000 1.822 1.875
Ir 1.822 0.000 5.625
Ir 1.822 1.822 0.000
```

Computed properties:
Energy of formation from the pure elements: -0.11 eV/f.u.
Space group: I-4m2 (119)
V: 50 Å³/f.u.